LiLaMg4: relaxed, PBEsol.

Cell lengths 6.007, 6.007, 6.007 Å; angles 60.00, 60.00, 60.00 degrees
Positions (direct):
Mg 0.875 0.375 0.375
Mg 0.375 0.875 0.375
Mg 0.375 0.375 0.375
Mg 0.375 0.375 0.875
Li 0.000 0.000 0.000
La 0.750 0.750 0.750

Energy relative to the elements   0.0039 eV per atom
Total magnetization   0.00 μB/f.u.
DOS at the Fermi energy   0.86 states/eV/atom

LiLaMg2: relaxed, PBEsol.

Cell lengths 5.192, 5.192, 5.192 Å; angles 60.00, 60.00, 60.00 degrees
Positions (direct):
Mg 0.000 0.000 0.000
Mg 0.250 0.250 0.250
Li 0.750 0.750 0.750
La 0.500 0.500 0.500

Energy relative to the elements   -0.0657 eV per atom
Total magnetization   0.00 μB/f.u.
Energy above the lowest structure with this stoichiometry   0 meV per atom
DOS at the Fermi energy   0.52 states/eV/atom